(1)
Compound: BeNiN3
Source: Alexandria via LeMat-Bulk
Functional: meta-GGA SCAN
Structure: PBEsol geometry

Calculated values
Theoretical density: 4.68 Mg/m³

Structure (CIF):
```
data_BeNiN3
_cell_length_a 3.389
_cell_length_b 3.389
_cell_length_c 3.389
_cell_angle_alpha 90.00
_cell_angle_beta 90.00
_cell_angle_gamma 90.00
_symmetry_space_group_name_H-M 'P 1'
_symmetry_Int_Tables_number 1
_symmetry_space_group_name_Hall 'P 1'
loop_
_atom_site_label
_atom_site_fract_x
_atom_site_fract_y
_atom_site_fract_z
Be1 0.000 0.000 0.000
Ni1 0.500 0.500 0.500
N1 0.000 0.000 0.500
N2 0.000 0.500 0.000
N3 0.500 0.000 0.000
```

(2)
Compound: Be3NO
Source: Alexandria via LeMat-Bulk
Functional: meta-GGA SCAN
Structure: PBEsol geometry

Calculated values
Theoretical density: 2.56 Mg/m³

Structure (CIF):
```
data_Be3NO
_cell_length_a 3.332
_cell_length_b 3.332
_cell_length_c 3.332
_cell_angle_alpha 90.00
_cell_angle_beta 90.00
_cell_angle_gamma 90.00
_symmetry_space_group_name_H-M 'P 1'
_symmetry_Int_Tables_number 1
_symmetry_space_group_name_Hall 'P 1'
loop_
_atom_site_label
_atom_site_fract_x
_atom_site_fract_y
_atom_site_fract_z
Be1 0.000 0.000 0.500
Be2 0.000 0.500 0.000
Be3 0.500 0.000 0.000
N1 0.000 0.000 0.000
O1 0.500 0.500 0.500
```

Number 1: raw formation energy 1590 meV per atom. Number 2: raw formation energy -577 meV per atom.